# Y2TmPbC

A relaxed structure of Y2TmPbC (PBE, Alexandria via LeMat-Bulk).

Cell: 4.844 4.927 4.927 Å, 90.00 90.00 90.00°
Fractional coordinates of all 5 atoms:
Y (0.000, 0.500, 0.000)
Y (0.000, 0.000, 0.500)
Tm (0.500, 0.000, 0.000)
Pb (0.500, 0.500, 0.500)
C (0.000, 0.000, 0.000)

Results
Energy of formation (eV/atom): -0.568
Energy (eV per atom): -6.63
DOS(E_F) (states/eV/f.u.): 2.29